(1)
VASP calculation (PBE) on a geometry-optimized AlZnAg2 structure.

Cell lengths 3.0252, 3.8818, 5.6571 Å; angles 90.00, 90.00, 90.00 degrees
With the nearest neighbours (Å) after each atom.
Positions (direct):
Zn 0.5000 0.5000 0.7557  6 Ag 2.76-2.89, 4 Al 2.87, 2 Zn 3.03
Al 0.0000 0.0000 0.4946  6 Ag 2.76-2.90, 4 Zn 2.87, 2 Al 3.03
Ag 0.0000 0.0000 0.9826  2 Al 2.76-2.90, 4 Zn 2.78, 6 Ag 2.94-3.03
Ag 0.5000 0.5000 0.2670  2 Zn 2.76-2.89, 4 Al 2.78, 6 Ag 2.94-3.03

Summary:
Calculated formation energy, meV/atom: -41.1
Space group: Pmm2 (25)

(2)
VASP calculation (PBE) on a geometry-optimized Al4Zn5Ag2 structure.

Cell lengths 2.9933, 8.7862, 7.6636 Å; angles 107.04, 101.26, 90.00 degrees
With the nearest neighbours (Å) after each atom.
Positions (direct):
Zn 0.5000 0.0000 0.0000  4 Zn 2.58, 4 Al 2.65
Zn 0.2044 0.8516 0.4087  3 Zn 2.59-2.63, 2 Al 2.71-2.79, 1 Ag 2.72
Zn 0.7956 0.1484 0.5913  3 Zn 2.59-2.63, 2 Al 2.71-2.79, 1 Ag 2.72
Zn 0.8540 0.8996 0.7081  5 Zn 2.58-2.63, 2 Al 2.69
Zn 0.1460 0.1004 0.2919  5 Zn 2.58-2.63, 2 Al 2.69
Al 0.6938 0.3674 0.3877  3 Zn 2.69-2.79, 3 Ag 2.73-2.90, 4 Al 2.86-2.99
Al 0.3062 0.6326 0.6123  3 Zn 2.69-2.79, 3 Ag 2.73-2.90, 4 Al 2.86-2.99
Al 0.0156 0.7608 0.0312  3 Zn 2.65-2.71, 2 Ag 2.69-2.70
Al 0.9844 0.2392 0.9688  3 Zn 2.65-2.71, 2 Ag 2.69-2.70
Ag 0.1043 0.5370 0.2086  5 Al 2.69-2.90, 1 Zn 2.72, 3 Ag 2.99-3.01
Ag 0.8957 0.4630 0.7914  5 Al 2.69-2.90, 1 Zn 2.72, 3 Ag 2.99-3.01

Summary:
Calculated formation energy, meV/atom: 77.1
Space group: C2/m (12)

(3)
VASP calculation (PBE) on a geometry-optimized AlZn4Ag structure.

Cell lengths 4.7688, 5.7164, 7.9025 Å; angles 68.80, 84.94, 75.89 degrees
With the nearest neighbours (Å) after each atom.
Positions (direct):
Zn 0.2519 0.0391 0.4239  4 Zn 2.56-2.84, 2 Al 2.77-2.79, 2 Ag 2.78-2.80
Zn 0.2481 0.5370 0.4239  4 Zn 2.56-2.84, 2 Al 2.77-2.79, 2 Ag 2.78-2.80
Zn 0.7484 0.2828 0.9234  4 Zn 2.56-2.79, 2 Al 2.77-2.78, 2 Ag 2.78-2.82
Zn 0.7519 0.4630 0.5761  4 Zn 2.56-2.84, 2 Al 2.77-2.79, 2 Ag 2.78-2.80
Zn 0.7516 0.7938 0.9234  4 Zn 2.56-2.79, 2 Al 2.77-2.78, 2 Ag 2.78-2.82
Zn 0.2516 0.7172 0.0766  4 Zn 2.56-2.79, 2 Al 2.77-2.78, 2 Ag 2.78-2.82
Zn 0.2484 0.2062 0.0766  4 Zn 2.56-2.79, 2 Al 2.77-2.78, 2 Ag 2.78-2.82
Zn 0.7481 0.9609 0.5761  4 Zn 2.56-2.84, 2 Al 2.77-2.79, 2 Ag 2.78-2.80
Ag 0.2500 0.6253 0.7494  8 Zn 2.78-2.82, 2 Al 2.86
Ag 0.7500 0.3747 0.2506  8 Zn 2.78-2.82, 2 Al 2.86
Al 0.7500 0.8748 0.2504  8 Zn 2.77-2.79, 2 Ag 2.86
Al 0.2500 0.1252 0.7496  8 Zn 2.77-2.79, 2 Ag 2.86

Summary:
Calculated formation energy, meV/atom: 45.5
Polymorph energy (0 for the lowest one), kJ/mol of atoms: 2.5
Space group: C2/c (15)

(4)
VASP calculation (PBE) on a geometry-optimized Al2ZnAg structure.

Cell lengths 4.6515, 4.6515, 5.4408 Å; angles 77.15, 77.15, 35.73 degrees
With the nearest neighbours (Å) after each atom.
Positions (direct):
Ag 0.2500 0.2500 0.2500  6 Al 2.73-2.86, 2 Ag 2.85
Al 0.4983 0.4983 0.5035  3 Zn 2.70-2.86, 3 Ag 2.73-2.86, 2 Al 2.85
Al 0.0017 0.0017 0.9965  3 Zn 2.70-2.86, 3 Ag 2.73-2.86, 2 Al 2.85
Zn 0.7500 0.7500 0.7500  6 Al 2.70-2.86, 2 Zn 2.85

Summary:
Calculated formation energy, meV/atom: -3.4
Space group: C2/m (12)

(5)
VASP calculation (PBE) on a geometry-optimized Al2Zn3Ag4 structure.

Cell lengths 5.0240, 4.9419, 9.8146 Å; angles 124.44, 96.06, 119.85 degrees
With the nearest neighbours (Å) after each atom.
Positions (direct):
Ag 0.9660 0.7599 0.6571  4 Al 2.73-2.97, 5 Zn 2.75-2.99, 3 Ag 2.89-2.93
Ag 0.3303 0.6723 0.0018  2 Al 2.76-2.79, 5 Zn 2.79-2.93, 5 Ag 2.84-2.94
Ag 0.6697 0.3277 0.9982  2 Al 2.76-2.79, 5 Zn 2.79-2.93, 5 Ag 2.84-2.94
Ag 0.0340 0.2401 0.3429  4 Al 2.73-2.97, 5 Zn 2.75-2.99, 3 Ag 2.89-2.93
Al 0.3325 0.4486 0.6727  6 Ag 2.73-2.97, 5 Zn 2.78-2.92, 1 Al 2.86
Al 0.6675 0.5514 0.3273  6 Ag 2.73-2.97, 5 Zn 2.78-2.92, 1 Al 2.86
Zn 0.3375 0.8784 0.3326  2 Zn 2.71-2.80, 6 Ag 2.75-2.99, 4 Al 2.82-2.92
Zn 0.0000 0.0000 0.0000  2 Al 2.78, 2 Zn 2.80, 8 Ag 2.81-2.93
Zn 0.6625 0.1216 0.6674  2 Zn 2.71-2.80, 6 Ag 2.75-2.99, 4 Al 2.82-2.92

Summary:
Calculated formation energy, meV/atom: -38.0
Space group: P-1 (2)

(6)
VASP calculation (PBE) on a geometry-optimized AlZn2Ag structure.

Cell lengths 4.7883, 2.9207, 4.7242 Å; angles 93.80, 90.00, 90.00 degrees
With the nearest neighbours (Å) after each atom.
Positions (direct):
Zn 0.0000 0.9905 0.9986  6 Zn 2.66-2.92, 2 Al 2.74, 2 Ag 2.76
Zn 0.0000 0.5095 0.5014  6 Zn 2.66-2.92, 2 Al 2.74, 2 Ag 2.76
Al 0.5000 0.7500 0.7500  4 Ag 2.69-2.86, 4 Zn 2.74, 2 Al 2.92
Ag 0.5000 0.2500 0.2500  4 Al 2.69-2.86, 4 Zn 2.76, 2 Ag 2.92

Summary:
Calculated formation energy, meV/atom: 4.5
Space group: P2/m (10)

(7)
VASP calculation (PBE) on a geometry-optimized AlZn2Ag structure.

Cell lengths 5.8089, 5.8089, 5.8089 Å; angles 152.31, 133.12, 55.32 degrees
With the nearest neighbours (Å) after each atom.
Positions (direct):
Al 0.2500 0.7500 0.5000  4 Ag 2.70, 2 Al 2.78, 4 Zn 2.95
Zn 0.5028 0.5028 0.0000  6 Zn 2.70-2.78, 2 Ag 2.90, 2 Al 2.95
Zn 0.9972 0.9972 0.0000  6 Zn 2.70-2.78, 2 Ag 2.90, 2 Al 2.95
Ag 0.7500 0.2500 0.5000  4 Al 2.70, 2 Ag 2.78, 4 Zn 2.90

Summary:
Calculated formation energy, meV/atom: 36.7
Space group: Immm (71)

(8)
VASP calculation (PBE) on a geometry-optimized AlZn2Ag2 structure.

Cell lengths 4.9415, 5.3440, 7.3535 Å; angles 108.02, 90.00, 117.54 degrees
With the nearest neighbours (Å) after each atom.
Positions (direct):
Al 0.6752 0.0000 0.7500  6 Ag 2.76-2.86, 6 Zn 2.81-2.93
Al 0.3248 0.0000 0.2500  6 Ag 2.76-2.86, 6 Zn 2.81-2.93
Ag 0.5343 0.3858 0.6471  3 Al 2.76-2.86, 6 Zn 2.78-2.91, 3 Ag 2.88-2.90
Ag 0.8516 0.3858 0.1471  3 Al 2.76-2.86, 6 Zn 2.78-2.91, 3 Ag 2.88-2.90
Ag 0.4657 0.6142 0.3529  3 Al 2.76-2.86, 6 Zn 2.78-2.91, 3 Ag 2.88-2.90
Ag 0.1484 0.6142 0.8529  3 Al 2.76-2.86, 6 Zn 2.78-2.91, 3 Ag 2.88-2.90
Zn 0.9408 0.2053 0.4516  3 Zn 2.77-2.92, 6 Ag 2.78-2.91, 3 Al 2.81-2.93
Zn 0.7356 0.7947 0.0483  3 Zn 2.77-2.92, 6 Ag 2.78-2.91, 3 Al 2.81-2.93
Zn 0.2644 0.2053 0.9516  3 Zn 2.77-2.92, 6 Ag 2.78-2.91, 3 Al 2.81-2.93
Zn 0.0592 0.7947 0.5484  3 Zn 2.77-2.92, 6 Ag 2.78-2.91, 3 Al 2.81-2.93

Summary:
Calculated formation energy, meV/atom: -36.1
Polymorph energy (0 for the lowest one), kJ/mol of atoms: 0.0
Space group: C2/c (15)

(9)
VASP calculation (PBE) on a geometry-optimized AlZnAg structure.

Cell lengths 4.8036, 4.8036, 4.8036 Å; angles 142.13, 133.39, 61.55 degrees
With the nearest neighbours (Å) after each atom.
Positions (direct):
Ag 0.9996 0.9996 0.0000  5 Zn 2.74-2.82, 5 Al 2.75-2.82
Zn 0.6674 0.6674 0.0000  5 Ag 2.74-2.82, 5 Al 2.76-2.81
Al 0.3331 0.3331 0.0000  5 Ag 2.75-2.82, 5 Zn 2.76-2.81

Summary:
Calculated formation energy, meV/atom: -10.3
Polymorph energy (0 for the lowest one), kJ/mol of atoms: 2.2
Space group: Imm2 (44)

(10)
VASP calculation (PBE) on a geometry-optimized Al3ZnAg structure.

Cell lengths 4.7432, 4.7432, 4.7432 Å; angles 90.00, 90.00, 90.00 degrees
With the nearest neighbours (Å) after each atom.
Positions (direct):
Al 0.0000 0.0000 0.5000  2 Zn 2.37
Al 0.0000 0.5000 0.0000  2 Zn 2.37
Al 0.5000 0.0000 0.0000  2 Zn 2.37
Zn 0.0000 0.0000 0.0000  6 Al 2.37
Ag 0.5000 0.5000 0.5000  12 Al 3.35

Summary:
Calculated formation energy, meV/atom: 554.9
Polymorph energy (0 for the lowest one), kJ/mol of atoms: 49.7
Space group: Pm-3m (221)

(11)
VASP calculation (PBE) on a geometry-optimized AlZnAg14 structure.

Cell lengths 5.7386, 5.7386, 9.4386 Å; angles 90.00, 90.00, 115.36 degrees
With the nearest neighbours (Å) after each atom.
Positions (direct):
Ag 0.8735 0.1265 0.2501  11 Ag 2.85-3.07, 1 Al 2.97
Ag 0.0622 0.4383 0.5000  2 Zn 2.85-2.89, 2 Al 2.85-2.88, 8 Ag 2.88-3.07
Ag 0.6936 0.3064 0.0000  12 Ag 2.86-3.07
Ag 0.8716 0.6291 0.2599  1 Al 2.80, 1 Zn 2.80, 10 Ag 2.85-3.07
Ag 0.6955 0.8050 0.0000  12 Ag 2.85-3.07
Ag 0.3735 0.6265 0.2491  11 Ag 2.85-3.07, 1 Zn 2.98
Ag 0.8735 0.1265 0.7499  11 Ag 2.85-3.07, 1 Al 2.97
Ag 0.5617 0.9378 0.5000  2 Zn 2.85-2.89, 2 Al 2.85-2.88, 8 Ag 2.88-3.07
Ag 0.1950 0.3045 0.0000  12 Ag 2.85-3.07
Ag 0.8716 0.6291 0.7401  1 Al 2.80, 1 Zn 2.80, 10 Ag 2.85-3.07
Ag 0.3709 0.1284 0.7401  1 Al 2.80, 1 Zn 2.80, 10 Ag 2.85-3.07
Ag 0.3709 0.1284 0.2599  1 Al 2.80, 1 Zn 2.80, 10 Ag 2.85-3.07
Ag 0.1934 0.8066 0.0000  12 Ag 2.85-3.07
Ag 0.3735 0.6265 0.7509  11 Ag 2.85-3.07, 1 Zn 2.98
Al 0.0601 0.9399 0.5000  10 Ag 2.80-2.97, 2 Zn 3.07
Zn 0.5595 0.4405 0.5000  10 Ag 2.80-2.98, 2 Al 3.07

Summary:
Calculated formation energy, meV/atom: 13.9
Space group: Amm2 (38)

(12)
VASP calculation (PBE) on a geometry-optimized AlZn6Ag structure.

Cell lengths 5.2587, 5.2587, 5.2587 Å; angles 88.24, 88.24, 88.24 degrees
With the nearest neighbours (Å) after each atom.
Positions (direct):
Zn 0.5332 0.1613 0.1613  3 Zn 2.47-2.72, 1 Al 2.56, 1 Ag 2.69
Zn 0.1613 0.1613 0.5332  3 Zn 2.47-2.72, 1 Al 2.56, 1 Ag 2.69
Zn 0.4668 0.8387 0.8387  3 Zn 2.47-2.72, 1 Al 2.56, 1 Ag 2.69
Zn 0.1613 0.5332 0.1613  3 Zn 2.47-2.72, 1 Al 2.56, 1 Ag 2.69
Zn 0.8387 0.4668 0.8387  3 Zn 2.47-2.72, 1 Al 2.56, 1 Ag 2.69
Zn 0.8387 0.8387 0.4668  3 Zn 2.47-2.72, 1 Al 2.56, 1 Ag 2.69
Al 0.5000 0.5000 0.5000  6 Zn 2.56
Ag 0.0000 0.0000 0.0000  6 Zn 2.69

Summary:
Calculated formation energy, meV/atom: 181.1
Polymorph energy (0 for the lowest one), kJ/mol of atoms: 16.8
Space group: R-3m (166)